The following is a PBE-GGA calculation of PmHoTcO6 after structural relaxation, from the Alexandria database.

Cell: 5.5848 5.5848 9.2912 Å, 90.00 90.00 120.00°
Atoms (fractional coordinates):
Pm  0.3333  0.6667  0.2500
Pm  0.6667  0.3333  0.7500
Ho  0.0000  0.0000  0.0000
Ho  0.0000  0.0000  0.5000
Tc  0.3333  0.6667  0.7500
Tc  0.6667  0.3333  0.2500
O  0.0548  0.3705  0.6322
O  0.0548  0.6843  0.8678
O  0.3157  0.3705  0.8678
O  0.3157  0.9452  0.6322
O  0.3705  0.0548  0.1322
O  0.3705  0.3157  0.3678
O  0.6295  0.6843  0.6322
O  0.6295  0.9452  0.8678
O  0.6843  0.0548  0.3678
O  0.6843  0.6295  0.1322
O  0.9452  0.3157  0.1322
O  0.9452  0.6295  0.3678

Values from the calculation:
The space group is P-31c, No. 163. For the total energy, the calculation gives -71.6 eV/f.u.